No. 1
Below is an optimized crystal structure of Mn6O7F5, with properties calculated at the PBE with a Hubbard U level.

a b c (Å): 4.6370 5.6310 7.7526
angles (deg): 85.72 89.00 88.06
Closest atoms and distances in Å follow each position.
Space group P1 (No. 1)
One atom of each set of equivalent atoms:
1 Mn 0.0000 0.0000 0.0000 x1  3 O 1.95-1.99, 3 F 2.10-2.15
2 Mn 0.0092 0.3430 0.6729 x1  3 O 1.90-2.01, 3 F 1.97-2.06
3 Mn 0.0299 0.6741 0.3696 x1  4 O 1.89-2.00, 2 F 2.01-2.03
4 Mn 0.4966 0.5113 0.0307 x1  3 O 1.92-1.98, 3 F 1.98-2.14
5 Mn 0.5225 0.8446 0.6818 x1  4 O 2.01-2.06, 2 F 2.09-2.11
6 Mn 0.5579 0.1874 0.3388 x1  4 O 1.90-2.03, 1 F 1.97
7 O 0.2143 0.6377 0.5853 x1  3 Mn 1.89-2.06
8 O 0.3118 0.4609 0.2527 x1  3 Mn 1.92-2.00
9 O 0.3181 0.8023 0.9163 x1  3 Mn 1.95-2.04
10 O 0.7183 0.2178 0.1110 x1  3 Mn 1.90-1.99
11 O 0.7260 0.8878 0.4490 x1  3 Mn 1.94-2.02
12 O 0.8174 0.0544 0.7738 x1  3 Mn 1.96-2.01
13 O 0.8238 0.4015 0.4570 x1  3 Mn 1.90-2.03
14 F 0.2116 0.9608 0.2404 x1  3 Mn 2.03-2.26
15 F 0.2295 0.3012 0.8883 x1  3 Mn 1.97-2.15
16 F 0.3275 0.1481 0.5546 x1  3 Mn 1.97-2.09
17 F 0.7298 0.5472 0.8152 x1  3 Mn 1.98-2.11
18 F 0.8274 0.7033 0.1420 x1  3 Mn 2.01-2.14

V: 202 Å³/f.u.
VASP energy: -6.77 eV per atom
ρ: 4.42 g/cm3
relative energy among the computed polymorphs: 27 meV/atom

=====

No. 2
Below is an optimized crystal structure of Mn4O7F, with properties calculated at the PBE with a Hubbard U level.

a b c (Å): 9.9423 8.9441 5.4938
angles (deg): 90.00 90.12 90.00
Closest atoms and distances in Å follow each position.
Space group Cc (No. 9)
One atom of each set of equivalent atoms:
1 Mn 0.0000 0.1172 0.0000 x4  5 O 1.89-1.97, 1 F 2.00
2 Mn 0.2511 0.1276 0.7235 x4  6 O 1.91-2.01
3 Mn 0.2524 0.3803 0.2211 x4  5 O 1.92-1.97, 1 F 2.02
4 Mn 0.4947 0.1218 0.0394 x4  5 O 1.93-1.97
5 O 0.0851 0.2384 0.7579 x4  3 Mn 1.91-1.95
6 O 0.1620 0.4902 0.4833 x4  3 Mn 1.96-1.97
7 O 0.1646 0.0049 0.9740 x4  3 Mn 1.93-2.00
8 O 0.3361 0.2445 0.9834 x4  3 Mn 1.94-1.97
9 O 0.3373 0.2618 0.4758 x4  3 Mn 1.95-2.01
10 O 0.4134 0.0158 0.7656 x4  3 Mn 1.91-1.95
11 O 0.4131 0.4971 0.2557 x4  3 Mn 1.89-1.97
12 F 0.0857 0.2521 0.2467 x4  3 Mn 2.00-2.16

V: 122 Å³/f.u.
VASP energy: -6.97 eV per atom
ρ: 4.77 g/cm3
relative energy among the computed polymorphs: 7 meV/atom

=====

No. 3
Below is an optimized crystal structure of Mn3O4F2, with properties calculated at the PBE with a Hubbard U level.

a b c (Å): 4.6575 5.5560 7.6449
angles (deg): 86.63 89.77 89.12
Closest atoms and distances in Å follow each position.
Space group P-1 (No. 2)
One atom of each set of equivalent atoms:
1 Mn 0.0000 0.0000 0.0000 x1  4 O 1.95-1.99, 2 F 2.04
2 Mn 0.0062 0.3306 0.6833 x2  4 O 1.91-2.00, 2 F 2.07-2.08
3 Mn 0.4596 0.1559 0.3415 x2  4 O 1.89-1.99, 1 F 1.98
4 Mn 0.5000 0.5000 0.0000 x1  4 O 2.00-2.03, 2 F 2.09
5 O 0.1860 0.9551 0.2274 x2  3 Mn 1.92-1.95
6 O 0.1877 0.3008 0.9075 x2  3 Mn 1.91-2.00
7 O 0.3055 0.4614 0.2373 x2  3 Mn 1.96-2.03
8 O 0.3102 0.1311 0.5724 x2  3 Mn 1.89-2.00
9 F 0.1866 0.6343 0.5615 x2  3 Mn 2.07-2.19
10 F 0.3176 0.8127 0.8796 x2  3 Mn 1.98-2.09

V: 99 Å³/f.u.
VASP energy: -6.82 eV per atom
ρ: 4.49 g/cm3
relative energy among the computed polymorphs: 33 meV/atom

=====

No. 4
Below is an optimized crystal structure of Mn6O5F7, with properties calculated at the PBE with a Hubbard U level.

a b c (Å): 4.7146 5.7212 7.9184
angles (deg): 86.29 88.73 88.58
Closest atoms and distances in Å follow each position.
Space group P1 (No. 1)
One atom of each set of equivalent atoms:
1 Mn 0.0000 0.0000 0.0000 x1  3 O 1.97-2.00, 3 F 2.09-2.13
2 Mn 0.0012 0.3315 0.6698 x1  3 O 2.00-2.04, 2 F 2.04-2.11
3 Mn 0.4546 0.4840 0.9935 x1  2 O 1.89-1.94, 4 F 2.01-2.07
4 Mn 0.4718 0.8132 0.6743 x1  3 O 1.99-2.01, 3 F 2.11-2.18
5 Mn 0.4779 0.1416 0.3087 x1  2 O 1.88-1.96, 2 F 2.05-2.11
6 Mn 0.9374 0.6745 0.3457 x1  2 O 1.97-2.01, 3 F 2.08-2.13
7 O 0.1738 0.0300 0.7682 x1  3 Mn 1.99-2.01
8 O 0.2765 0.5374 0.7833 x1  3 Mn 1.89-2.04
9 O 0.2817 0.2019 0.0934 x1  3 Mn 1.94-1.97
10 O 0.7766 0.6093 0.5755 x1  3 Mn 1.97-2.01
11 O 0.7869 0.9687 0.2216 x1  3 Mn 1.88-2.01
12 F 0.1758 0.6939 0.1213 x1  3 Mn 2.05-2.10
13 F 0.1799 0.3482 0.4225 x1  3 Mn 2.05-2.22
14 F 0.2860 0.8481 0.4331 x1  3 Mn 2.09-2.11
15 F 0.6666 0.4643 0.2109 x1  3 Mn 2.01-2.16
16 F 0.6676 0.1095 0.5519 x1  3 Mn 2.12-2.30
17 F 0.6840 0.7775 0.9167 x1  3 Mn 2.07-2.18
18 F 0.7681 0.2826 0.8893 x1  3 Mn 2.04-2.09

V: 213 Å³/f.u.
VASP energy: -6.65 eV per atom
ρ: 4.23 g/cm3
relative energy among the computed polymorphs: 29 meV/atom